(1)
The following is a PBE-GGA calculation of a relaxed structure of Pa2Si3Ni12Ir, from Alexandria via LeMat-Bulk.

abc: 6.287 6.287 6.287
angles: 83.58 83.58 83.58
Fractional positions:
Ni 0.612 0.099 0.612
Ni 0.901 0.388 0.388
Ni 0.099 0.612 0.612
Ni 0.388 0.901 0.388
Ni 0.693 0.199 0.199
Ni 0.801 0.307 0.801
Ni 0.388 0.388 0.901
Ni 0.199 0.199 0.693
Ni 0.307 0.801 0.801
Ni 0.199 0.693 0.199
Ni 0.801 0.801 0.307
Ni 0.612 0.612 0.099
Ir 0.000 0.000 0.000
Si 0.500 0.000 0.000
Si 0.000 0.000 0.500
Si 0.000 0.500 0.000
Pa 0.325 0.325 0.325
Pa 0.675 0.675 0.675

The value obtained for the total magnetization is 0.0 Bohr magnetons per cell. The formation energy (no corrections) comes out at -123.9 meV per atom.

=====

(2)
The following is a PBE-GGA calculation of a relaxed structure of Pa2Si3NiIr4, from Alexandria via LeMat-Bulk.

abc: 4.053 4.053 10.184
angles: 90.00 90.00 90.00
Fractional positions:
Ir 0.000 0.000 0.000
Ir 0.500 0.500 0.000
Ir 0.000 0.500 0.361
Ir 0.500 0.000 0.639
Pa 0.000 0.500 0.745
Pa 0.500 0.000 0.255
Si 0.500 0.000 0.870
Si 0.000 0.000 0.500
Si 0.000 0.500 0.130
Ni 0.500 0.500 0.500

The value obtained for the total magnetization is 0.0 Bohr magnetons per cell. The formation energy (no corrections) comes out at -880.0 meV per atom.

=====

(3)
The following is a PBE-GGA calculation of a relaxed structure of PaSi2NiIr2, from Alexandria via LeMat-Bulk.

abc: 4.290 4.290 5.385
angles: 90.00 90.00 90.00
Fractional positions:
Si 0.000 0.500 0.000
Si 0.500 0.000 0.000
Ir 0.500 0.500 0.741
Ir 0.500 0.500 0.259
Ni 0.000 0.000 0.000
Pa 0.000 0.000 0.500

The value obtained for the total magnetization is 0.0 Bohr magnetons per cell. The formation energy (no corrections) comes out at -370.6 meV per atom.

=====

(4)
The following is a PBE-GGA calculation of a relaxed structure of SmPaNiIr, from Alexandria via LeMat-Bulk.

abc: 4.876 4.876 4.876
angles: 60.00 60.00 60.00
Fractional positions:
Sm 0.500 0.500 0.500
Pa 0.000 0.000 0.000
Ni 0.750 0.750 0.750
Ir 0.250 0.250 0.250

The value obtained for the total magnetization is 0.0 Bohr magnetons per cell. For the energy relative to the elements, the calculation gives -0.41 eV/atom.

=====

(5)
The following is a PBE-GGA calculation of a relaxed structure of PaNiSnIr, from Alexandria via LeMat-Bulk.

abc: 4.742 4.742 4.742
angles: 60.00 60.00 60.00
Fractional positions:
Pa 0.000 0.000 0.000
Ir 0.750 0.750 0.750
Sn 0.500 0.500 0.500
Ni 0.250 0.250 0.250

The value obtained for the total magnetization is 0.0 Bohr magnetons per cell. For the energy relative to the elements, the calculation gives -0.43 eV/atom.

=====

(6)
The following is a PBE-GGA calculation of a relaxed structure of TbPaNiIr, from Alexandria via LeMat-Bulk.

abc: 4.845 4.845 4.845
angles: 60.00 60.00 60.00
Fractional positions:
Ir 0.250 0.250 0.250
Pa 0.000 0.000 0.000
Ni 0.750 0.750 0.750
Tb 0.500 0.500 0.500

The value obtained for the total magnetization is 0.0 Bohr magnetons per cell. For the energy relative to the elements, the calculation gives -0.48 eV/atom.

=====

(7)
The following is a PBE-GGA calculation of a relaxed structure of TbPaNiIr, from Alexandria via LeMat-Bulk.

abc: 3.697 4.102 5.901
angles: 90.00 108.26 90.00
Fractional positions:
Ni 0.427 0.000 0.854
Tb 0.856 0.500 0.713
Ir 0.595 0.500 0.189
Pa 0.122 0.000 0.244

The value obtained for the total magnetization is 0.0 Bohr magnetons per cell. For the energy relative to the elements, the calculation gives -0.69 eV/atom.

=====

(8)
The following is a PBE-GGA calculation of a relaxed structure of TmPaNiIr, from Alexandria via LeMat-Bulk.

abc: 4.813 4.813 4.813
angles: 60.00 60.00 60.00
Fractional positions:
Ir 0.000 0.000 0.000
Tm 0.250 0.250 0.250
Ni 0.500 0.500 0.500
Pa 0.750 0.750 0.750

The value obtained for the total magnetization is 0.0 Bohr magnetons per cell. For the energy relative to the elements, the calculation gives -0.54 eV/atom.

=====

(9)
The following is a PBE-GGA calculation of a relaxed structure of UPaNiIr, from Alexandria via LeMat-Bulk.

abc: 4.627 4.627 4.627
angles: 60.00 60.00 60.00
Last column: magnetic moment on the atom in μB.
Fractional positions:
Ir 0.000 0.000 0.000  -0.14
Pa 0.500 0.500 0.500  0.68
U 0.750 0.750 0.750  1.57
Ni 0.250 0.250 0.250  -0.09

The value obtained for the total magnetization is 2.1 Bohr magnetons per cell. For the energy relative to the elements, the calculation gives -0.48 eV/atom.

=====

(10)
The following is a PBE-GGA calculation of a relaxed structure of YPaNiIr, from Alexandria via LeMat-Bulk.

abc: 4.845 4.845 4.845
angles: 60.00 60.00 60.00
Fractional positions:
Ni 0.750 0.750 0.750
Y 0.500 0.500 0.500
Pa 0.000 0.000 0.000
Ir 0.250 0.250 0.250

The value obtained for the total magnetization is 0.0 Bohr magnetons per cell. For the energy relative to the elements, the calculation gives -0.48 eV/atom.

=====

(11)
The following is a PBE-GGA calculation of a relaxed structure of YPaNiIr, from Alexandria via LeMat-Bulk.

abc: 3.704 4.090 5.915
angles: 90.00 108.25 90.00
Fractional positions:
Y 0.145 0.000 0.289
Ni 0.571 0.500 0.142
Ir 0.406 0.000 0.811
Pa 0.879 0.500 0.757

The value obtained for the total magnetization is 0.0 Bohr magnetons per cell. For the energy relative to the elements, the calculation gives -0.69 eV/atom.

=====

(12)
The following is a PBE-GGA calculation of a relaxed structure of NiIrPb, from Alexandria via LeMat-Bulk.

abc: 5.417 5.417 5.417
angles: 144.74 144.74 50.72
Fractional positions:
Ir 0.966 0.966 0.000
Ni 0.366 0.366 0.000
Pb 0.668 0.668 0.000

The value obtained for the total magnetization is 0.0 Bohr magnetons per cell. For the energy relative to the elements, the calculation gives 0.46 eV/atom.

=====

(13)
The following is a PBE-GGA calculation of a relaxed structure of NiIrPb2, from Alexandria via LeMat-Bulk.

abc: 3.999 3.877 5.511
angles: 69.63 90.00 90.00
Fractional positions:
Pb 0.500 0.276 0.323
Pb 0.000 0.983 0.912
Ir 0.000 0.696 0.485
Ni 0.500 0.545 0.781

The value obtained for the total magnetization is 0.0 Bohr magnetons per cell. For the energy relative to the elements, the calculation gives 0.21 eV/atom.

=====

(14)
The following is a PBE-GGA calculation of a relaxed structure of NiIrPb2, from Alexandria via LeMat-Bulk.

abc: 4.692 4.996 3.304
angles: 90.00 90.00 90.00
Fractional positions:
Ir 0.500 0.000 0.500
Pb 0.000 0.000 0.000
Pb 0.500 0.500 0.000
Ni 0.000 0.500 0.500

The value obtained for the total magnetization is 0.0 Bohr magnetons per cell. For the energy relative to the elements, the calculation gives 0.47 eV/atom.

=====

(15)
The following is a PBE-GGA calculation of a relaxed structure of NiIrPb2, from Alexandria via LeMat-Bulk.

abc: 4.775 4.775 4.775
angles: 60.00 60.00 60.00
Fractional positions:
Pb 0.750 0.750 0.750
Pb 0.250 0.250 0.250
Ni 0.000 0.000 0.000
Ir 0.500 0.500 0.500

The value obtained for the total magnetization is 0.0 Bohr magnetons per cell. For the energy relative to the elements, the calculation gives 0.44 eV/atom.

=====

(16)
The following is a PBE-GGA calculation of a relaxed structure of NiIrPb, from Alexandria via LeMat-Bulk.

abc: 4.899 4.899 4.899
angles: 143.65 133.63 60.30
Last column: magnetic moment on the atom in μB.
Fractional positions:
Ni 0.345 0.345 0.000  0.14
Ir 0.989 0.989 0.000  0.07
Pb 0.666 0.666 0.000  0.00

The value obtained for the total magnetization is 0.2 Bohr magnetons per cell. For the energy relative to the elements, the calculation gives 0.45 eV/atom.

=====

(17)
The following is a PBE-GGA calculation of a relaxed structure of NiIrPb2, from Alexandria via LeMat-Bulk.

abc: 5.587 5.587 5.587
angles: 137.66 137.66 61.43
Fractional positions:
Pb 0.250 0.750 0.500
Pb 0.000 0.000 0.000
Ir 0.500 0.500 0.000
Ni 0.750 0.250 0.500

The value obtained for the total magnetization is 0.0 Bohr magnetons per cell. For the energy relative to the elements, the calculation gives 0.49 eV/atom.

=====

(18)
The following is a PBE-GGA calculation of a relaxed structure of Ni2IrPb, from Alexandria via LeMat-Bulk.

abc: 4.564 4.564 4.564
angles: 126.57 126.64 78.90
Fractional positions:
Ni 0.500 0.500 0.000
Ni 0.000 0.000 0.000
Pb 0.750 0.250 0.500
Ir 0.250 0.750 0.500

The value obtained for the total magnetization is 0.0 Bohr magnetons per cell. For the energy relative to the elements, the calculation gives 0.31 eV/atom.

=====

(19)
The following is a PBE-GGA calculation of a relaxed structure of NiIrPb2, from Alexandria via LeMat-Bulk.

abc: 6.220 6.220 7.208
angles: 64.44 64.44 90.00
Fractional positions:
Ir 0.000 0.000 0.000
Ir 0.750 0.250 0.500
Pb 0.614 0.125 0.250
Pb 0.136 0.625 0.250
Pb 0.375 0.386 0.750
Pb 0.875 0.864 0.750
Ni 0.250 0.750 0.500
Ni 0.500 0.500 0.000

The value obtained for the total magnetization is 0.0 Bohr magnetons per cell. For the energy relative to the elements, the calculation gives 0.72 eV/atom.

=====

(20)
The following is a PBE-GGA calculation of a relaxed structure of Ni2IrPb, from Alexandria via LeMat-Bulk.

abc: 3.210 3.210 5.917
angles: 90.00 90.00 90.00
Last column: magnetic moment on the atom in μB.
Fractional positions:
Pb 0.000 0.000 0.484  -0.01
Ni 0.500 0.500 0.213  0.15
Ni 0.000 0.000 0.012  0.45
Ir 0.500 0.500 0.792  0.19

The value obtained for the total magnetization is 0.8 Bohr magnetons per cell. For the energy relative to the elements, the calculation gives 0.35 eV/atom.

=====

(21)
The following is a PBE-GGA calculation of a relaxed structure of NiIrPb4, from Alexandria via LeMat-Bulk.

abc: 6.144 6.144 6.144
angles: 60.00 60.00 60.00
Last column: magnetic moment on the atom in μB.
Fractional positions:
Pb 0.375 0.874 0.375  0.00
Pb 0.874 0.375 0.375  0.00
Pb 0.375 0.375 0.375  0.00
Pb 0.375 0.375 0.874  0.00
Ni 0.000 0.000 0.000  0.60
Ir 0.750 0.750 0.750  0.08

The value obtained for the total magnetization is 0.7 Bohr magnetons per cell. For the energy relative to the elements, the calculation gives 1.16 eV/atom.

=====

(22)
The following is a PBE-GGA calculation of a relaxed structure of NiIrPb2, from Alexandria via LeMat-Bulk.

abc: 3.336 3.336 6.941
angles: 90.00 90.00 91.66
Fractional positions:
Ni 0.500 0.500 0.750
Ir 0.500 0.500 0.250
Pb 0.000 0.000 0.994
Pb 0.000 0.000 0.506

The value obtained for the total magnetization is 0.0 Bohr magnetons per cell. For the energy relative to the elements, the calculation gives 0.46 eV/atom.

=====

(23)
The following is a PBE-GGA calculation of a relaxed structure of Ni2IrPb, from Alexandria via LeMat-Bulk.

abc: 3.579 2.877 6.684
angles: 64.80 90.00 90.00
Fractional positions:
Pb 0.500 0.250 0.250
Ir 0.500 0.750 0.750
Ni 0.000 0.049 0.953
Ni 0.000 0.451 0.547

The value obtained for the total magnetization is 0.0 Bohr magnetons per cell. For the energy relative to the elements, the calculation gives 0.31 eV/atom.

=====

(24)
The following is a PBE-GGA calculation of a relaxed structure of Ni2IrPb, from Alexandria via LeMat-Bulk.

abc: 4.481 4.481 5.026
angles: 79.60 79.60 39.55
Fractional positions:
Ir 0.750 0.750 0.750
Ni 0.010 0.010 0.945
Ni 0.490 0.490 0.555
Pb 0.250 0.250 0.250

The value obtained for the total magnetization is 0.0 Bohr magnetons per cell. For the energy relative to the elements, the calculation gives 0.35 eV/atom.

=====

(25)
The following is a PBE-GGA calculation of a relaxed structure of NiIrPb2, from Alexandria via LeMat-Bulk.

abc: 6.523 6.523 6.523
angles: 151.80 141.63 48.30
Fractional positions:
Ni 0.251 0.751 0.500
Pb 0.774 0.274 0.500
Pb 0.041 0.041 0.000
Ir 0.434 0.434 0.000

The value obtained for the total magnetization is 0.0 Bohr magnetons per cell. For the energy relative to the elements, the calculation gives 0.36 eV/atom.

=====

(26)
The following is a PBE-GGA calculation of a relaxed structure of NiIrPb, from Alexandria via LeMat-Bulk.

abc: 4.329 4.329 3.092
angles: 90.00 90.00 120.00
Fractional positions:
Ir 0.000 0.000 0.023
Pb 0.333 0.667 0.625
Ni 0.667 0.333 0.352

The value obtained for the total magnetization is 0.0 Bohr magnetons per cell. For the energy relative to the elements, the calculation gives 0.47 eV/atom.

=====

(27)
The following is a PBE-GGA calculation of a relaxed structure of Ni2IrPb, from Alexandria via LeMat-Bulk.

abc: 3.956 3.956 3.799
angles: 90.00 90.00 90.00
Fractional positions:
Ni 0.000 0.000 0.000
Ni 0.500 0.500 0.000
Pb 0.500 0.000 0.500
Ir 0.000 0.500 0.500

The value obtained for the total magnetization is 0.0 Bohr magnetons per cell. For the energy relative to the elements, the calculation gives 0.25 eV/atom.

=====

(28)
The following is a PBE-GGA calculation of a relaxed structure of Ni2IrPb, from Alexandria via LeMat-Bulk.

abc: 4.324 3.021 4.578
angles: 89.98 90.00 90.00
Fractional positions:
Ir 0.500 0.625 0.831
Ni 0.500 0.125 0.288
Ni 0.000 0.125 0.945
Pb 0.000 0.625 0.436

The value obtained for the total magnetization is 0.0 Bohr magnetons per cell. For the energy relative to the elements, the calculation gives 0.30 eV/atom.

=====

(29)
The following is a PBE-GGA calculation of a relaxed structure of NiIrPb2, from Alexandria via LeMat-Bulk.

abc: 4.524 4.524 5.831
angles: 77.87 77.87 43.25
Fractional positions:
Ni 0.250 0.250 0.250
Pb 0.503 0.503 0.494
Pb 0.997 0.997 0.006
Ir 0.750 0.750 0.750

The value obtained for the total magnetization is 0.0 Bohr magnetons per cell. For the energy relative to the elements, the calculation gives 0.49 eV/atom.